(1)
Crystalline Ga2Cu2Ni at its relaxed geometry, computed with PBE-GGA.

Results
Formation energy in eV per atom: 0.00
Crystal system: tetragonal
E above lowest polymorph in eV/atom: 0.165

Cell: 6.6129 6.6129 3.1067 Å, 90.00 90.00 90.00°
Closest atoms and distances in Å follow each position.
Space group P4/mbm (No. 127)
Asymmetric unit:
Ga1 0.1553 0.3447 0.0000 (multiplicity 4)  6 Cu 2.44-2.52, 2 Ni 2.50
Cu1 0.1440 0.6440 0.5000 (multiplicity 4)  6 Ga 2.44-2.52, 1 Cu 2.69
Ni1 0.0000 0.0000 0.0000 (multiplicity 2)  4 Ga 2.50



(2)
Crystalline KCdW2 at its relaxed geometry, computed with PBE-GGA.

Results
Formation energy in eV per atom: 1.46
Crystal system: tetragonal

Cell: 3.6828 3.6828 7.7092 Å, 90.00 90.00 90.00°
Closest atoms and distances in Å follow each position.
Space group P4/mmm (No. 123)
Asymmetric unit:
K1 0.0000 0.0000 0.0000 (multiplicity 1)  4 K 3.68, 8 W 3.77, 2 Cd 3.85
Cd1 0.0000 0.0000 0.5000 (multiplicity 1)  8 W 2.84
W1 0.5000 0.5000 0.3535 (multiplicity 2)  1 W 2.26



(3)
Crystalline LiMgGeAu at its relaxed geometry, computed with PBE-GGA.

Results
Formation energy in eV per atom: -0.39
Crystal system: tetragonal

Cell: 3.3235 3.3235 6.1504 Å, 90.00 90.00 90.00°
Closest atoms and distances in Å follow each position.
Space group P4mm (No. 99)
Asymmetric unit:
Li1 0.0000 0.0000 0.0000 (multiplicity 1)  4 Au 2.74, 4 Ge 2.75, 1 Mg 3.00
Mg1 0.0000 0.0000 0.4885 (multiplicity 1)  4 Au 2.84, 4 Ge 2.92, 2 Li 3.00-3.15
Ge1 0.5000 0.5000 0.7693 (multiplicity 1)  4 Li 2.75, 1 Au 2.83, 4 Mg 2.92
Au1 0.5000 0.5000 0.2291 (multiplicity 1)  4 Li 2.74, 1 Ge 2.83, 4 Mg 2.84



(4)
Crystalline P2PdRh at its relaxed geometry, computed with PBE-GGA.

Results
Formation energy in eV per atom: -0.27
Crystal system: tetragonal
E above lowest polymorph in eV/atom: 0.000

Cell: 5.4946 5.4946 9.9174 Å, 90.00 90.00 90.00°
Closest atoms and distances in Å follow each position.
Space group I-42d (No. 122)
Asymmetric unit:
P1 0.2372 0.2500 0.1250 (multiplicity 8)  2 Rh 2.26, 2 Pd 2.35
Pd1 0.0000 0.0000 0.5000 (multiplicity 4)  4 P 2.35
Rh1 0.0000 0.0000 0.0000 (multiplicity 4)  4 P 2.26



(5)
Crystalline ZnFe3Cl at its relaxed geometry, computed with PBE-GGA.

Results
Crystal system: cubic
E above lowest polymorph in eV/atom: 0.000
Formation energy (no corrections) in meV per atom: 701

Cell: 4.1263 4.1263 4.1263 Å, 90.00 90.00 90.00°
Closest atoms and distances in Å follow each position.
Space group Pm-3m (No. 221)
Asymmetric unit:
Zn1 0.0000 0.0000 0.0000 (multiplicity 1)  12 Fe 2.92
Fe1 0.0000 0.5000 0.5000 (multiplicity 3)  2 Cl 2.06
Cl1 0.5000 0.5000 0.5000 (multiplicity 1)  6 Fe 2.06



(6)
Crystalline K3Pr2SmS6 at its relaxed geometry, computed with PBE-GGA.

Results
Crystal system: monoclinic
Formation energy (no corrections) in meV per atom: -1849

Cell: 7.2774 12.6039 7.7881 Å, 90.00 108.15 90.00°
Closest atoms and distances in Å follow each position.
Space group C2/m (No. 12)
Asymmetric unit:
K1 0.0000 0.0000 0.0000 (multiplicity 2)  6 S 3.24-3.28
K2 0.0000 0.3329 0.0000 (multiplicity 4)  6 S 3.24-3.27
Pr1 0.0000 0.1666 0.5000 (multiplicity 4)  6 S 2.89
Sm1 0.0000 0.5000 0.5000 (multiplicity 2)  6 S 2.84
S1 0.2335 0.3357 0.7076 (multiplicity 8)  1 Sm 2.84, 2 Pr 2.89
S2 0.2407 0.0000 0.7075 (multiplicity 4)  1 Sm 2.84, 2 Pr 2.89



(7)
Crystalline PH2Cl at its relaxed geometry, computed with PBE-GGA.

Results
Crystal system: tetragonal
E above lowest polymorph in eV/atom: 0.513

Cell: 5.2472 5.2472 7.5705 Å, 90.00 90.00 90.00°
Closest atoms and distances in Å follow each position.
Space group I4_1/amd (No. 141, origin choice 2)
Asymmetric unit:
P1 0.0000 0.2500 0.3750 (multiplicity 4)  4 H 1.62
H1 0.0000 0.0000 0.5000 (multiplicity 8)  2 P 1.62
Cl1 0.0000 0.2500 0.8750 (multiplicity 4)  12 H 3.08-3.13, 4 Cl 3.24, 4 P 3.24



(8)
Crystalline K2Ba3PaS6 at its relaxed geometry, computed with PBE-GGA.

Results
Crystal system: monoclinic
Formation energy (no corrections) in meV per atom: -1763

Cell: 7.8235 13.4380 7.5317 Å, 90.00 110.32 90.00°
Closest atoms and distances in Å follow each position.
Space group C2/m (No. 12)
Asymmetric unit:
K1 0.0000 0.1652 0.0000 (multiplicity 4)  6 S 3.22-3.23
Ba1 0.0000 0.0000 0.5000 (multiplicity 2)  4 S 3.10
Ba2 0.0000 0.3286 0.5000 (multiplicity 4)  6 S 3.11-3.42
Pa1 0.0000 0.5000 0.0000 (multiplicity 2)  6 S 2.79-2.81
S1 0.2104 0.5000 0.7681 (multiplicity 4)  1 Pa 2.79
S2 0.2237 0.3533 0.2332 (multiplicity 8)  1 Pa 2.81, 2 Ba 3.10-3.11



(9)
Crystalline Cd2In2Ni at its relaxed geometry, computed with PBE-GGA.

Results
Formation energy in eV per atom: 0.26
Crystal system: tetragonal
E above lowest polymorph in eV/atom: 0.064

Cell: 7.0052 7.0052 4.6121 Å, 90.00 90.00 90.00°
Closest atoms and distances in Å follow each position.
Space group P4/mbm (No. 127)
Asymmetric unit:
Cd1 0.1526 0.3474 0.0000 (multiplicity 4)  2 Ni 2.66, 2 In 2.92
In1 0.1660 0.6660 0.5000 (multiplicity 4)  6 Cd 2.92-3.21
Ni1 0.0000 0.0000 0.0000 (multiplicity 2)  4 Cd 2.66



(10)
Crystalline TlSeF at its relaxed geometry, computed with PBE-GGA.

Results
Crystal system: monoclinic
E above lowest polymorph in eV/atom: 0.058
Formation energy (no corrections) in meV per atom: -1055

Cell: 13.1641 3.5700 8.2092 Å, 90.00 127.05 90.00°
Closest atoms and distances in Å follow each position.
Space group C2/m (No. 12)
Asymmetric unit:
Tl1 0.0786 0.0000 0.3632 (multiplicity 4)  3 F 2.54-2.62
Se1 0.2356 0.0000 0.0878 (multiplicity 4)  2 Se 2.46
F1 0.1881 0.5000 0.2992 (multiplicity 4)  3 Tl 2.54-2.62, 2 Se 2.81



(11)
Crystalline InSiAgS4 at its relaxed geometry, computed with PBE-GGA.

Results
Crystal system: tetragonal
Formation energy (no corrections) in meV per atom: -530

Cell: 5.9346 5.9346 9.8467 Å, 90.00 90.00 90.00°
Closest atoms and distances in Å follow each position.
Space group I-4 (No. 82)
Asymmetric unit:
In1 0.0000 0.0000 0.0000 (multiplicity 2)  4 S 2.51
Si1 0.0000 0.5000 0.2500 (multiplicity 2)  4 S 2.15
Ag1 0.0000 0.0000 0.5000 (multiplicity 2)  4 S 2.57
S1 0.2186 0.2732 0.1431 (multiplicity 8)  1 Si 2.15



(12)
Crystalline Ce4Sn2Sb at its relaxed geometry, computed with PBE-GGA.

Results
Crystal system: tetragonal
Formation energy (no corrections) in meV per atom: -677

Cell: 9.5013 9.5013 9.4800 Å, 90.00 90.00 90.00°
Closest atoms and distances in Å follow each position.
Space group I-42d (No. 122)
Asymmetric unit:
Ce1 0.0742 0.6766 0.4493 (multiplicity 16)  2 Sb 3.19-3.38, 4 Sn 3.19-3.39
Sn1 0.1250 0.7500 0.1250 (multiplicity 8)  8 Ce 3.19-3.39
Sb1 0.0000 0.0000 0.5000 (multiplicity 4)  8 Ce 3.19-3.38



(13)
Crystalline TlIn6Hg12 at its relaxed geometry, computed with PBE-GGA.

Results
Formation energy in eV per atom: 0.04
Crystal system: trigonal
E above lowest polymorph in eV/atom: 0.037

Cell: 13.8612 13.8612 9.7255 Å, 90.00 90.00 120.00°
Closest atoms and distances in Å follow each position.
Space group R-3m (No. 166, hexagonal axes)
Asymmetric unit:
Tl1 0.0000 0.0000 0.0000 (multiplicity 3)  6 Hg 3.29
In1 0.0593 0.5297 0.2244 (multiplicity 18)  8 Hg 3.07-3.28
Hg1 0.0000 0.3901 0.5000 (multiplicity 18)  3 Hg 3.05-3.24, 4 In 3.09-3.16
Hg2 0.0785 0.1570 0.2766 (multiplicity 18)  4 In 3.07-3.28, 4 Hg 3.24-3.27, 1 Tl 3.29



(14)
Crystalline RbTc2SnO8 at its relaxed geometry, computed with PBE-GGA.

Results
Crystal system: trigonal
Formation energy (no corrections) in meV per atom: -1434

Cell: 5.5275 5.5275 26.5173 Å, 90.00 90.00 120.00°
Closest atoms and distances in Å follow each position.
Space group R32 (No. 155, hexagonal axes)
Asymmetric unit:
Rb1 0.0000 0.0000 0.0000 (multiplicity 3)  12 O 3.24-3.50
Tc1 0.0000 0.0000 0.2474 (multiplicity 6)  4 O 1.75-1.78
Sn1 0.0000 0.0000 0.5000 (multiplicity 3)  6 O 2.43
O1 0.0000 0.0000 0.3134 (multiplicity 6)  1 Tc 1.75
O2 0.0126 0.3086 0.2247 (multiplicity 18)  1 Tc 1.78



(15)
Crystalline Ho4TeAsSe2 at its relaxed geometry, computed with PBE-GGA.

Results
Crystal system: monoclinic
Formation energy (no corrections) in meV per atom: -1584

Cell: 7.1145 4.1248 7.2707 Å, 90.00 109.19 90.00°
Closest atoms and distances in Å follow each position.
Space group P2/m (No. 10)
Asymmetric unit:
Ho1 0.2352 0.0000 0.2214 (multiplicity 2)  3 Se 2.81-3.02, 1 As 2.85, 2 Te 3.07
Ho2 0.2524 0.5000 0.7712 (multiplicity 2)  3 Se 2.82-3.01, 2 As 2.86, 1 Te 3.05
Te1 0.5000 0.5000 0.5000 (multiplicity 1)  6 Ho 3.05-3.07
As1 0.5000 0.0000 0.0000 (multiplicity 1)  6 Ho 2.85-2.86
Se1 0.0000 0.0000 0.5000 (multiplicity 1)  6 Ho 3.01-3.02
Se2 0.0000 0.5000 0.0000 (multiplicity 1)  6 Ho 2.81-2.82



(16)
Crystalline BeCoNi2 at its relaxed geometry, computed with PBE-GGA.

Results
Formation energy in eV per atom: -0.12
Crystal system: tetragonal

Cell: 3.4598 3.4598 6.7667 Å, 90.00 90.00 90.00°
Closest atoms and distances in Å follow each position.
Space group I4/mmm (No. 139)
Asymmetric unit:
Be1 0.0000 0.0000 0.0000 (multiplicity 2)  8 Ni 2.42, 4 Co 2.45
Co1 0.0000 0.0000 0.5000 (multiplicity 2)  8 Ni 2.42, 4 Be 2.45
Ni1 0.0000 0.5000 0.2500 (multiplicity 4)  4 Co 2.42, 4 Be 2.42, 4 Ni 2.45



(17)
Crystalline Zr4PdO at its relaxed geometry, computed with PBE-GGA.

Results
Crystal system: monoclinic
Formation energy (no corrections) in meV per atom: -913

Cell: 7.3364 13.1535 5.7316 Å, 90.00 123.33 90.00°
Closest atoms and distances in Å follow each position.
Space group C2/c (No. 15)
Asymmetric unit:
Zr1 0.1404 0.2087 0.1503 (multiplicity 8)  1 O 2.39, 1 Pd 2.68
Zr2 0.2296 0.0513 0.7117 (multiplicity 8)  2 O 2.23-2.35
Pd1 0.0000 0.3857 0.7500 (multiplicity 4)  6 Zr 2.68-2.87
O1 0.0000 0.0625 0.2500 (multiplicity 4)  6 Zr 2.23-2.39



(18)
Crystalline MgHgRu2I at its relaxed geometry, computed with PBE-GGA.

Results
Crystal system: tetragonal
Formation energy (no corrections) in meV per atom: 1407

Cell: 4.9069 4.9069 5.0175 Å, 90.00 90.00 90.00°
Closest atoms and distances in Å follow each position.
Space group P4/mmm (No. 123)
Asymmetric unit:
Mg1 0.0000 0.0000 0.0000 (multiplicity 1)  4 Ru 2.45, 2 Hg 2.51
Hg1 0.0000 0.0000 0.5000 (multiplicity 1)  2 Mg 2.51
Ru1 0.0000 0.5000 0.0000 (multiplicity 2)  2 Mg 2.45
I1 0.5000 0.5000 0.5000 (multiplicity 1)  4 Hg 3.47, 8 Ru 3.51



(19)
Crystalline ZrCuPCl2 at its relaxed geometry, computed with PBE-GGA.

Results
Crystal system: tetragonal
E above lowest polymorph in eV/atom: 0.000
Formation energy (no corrections) in meV per atom: -261

Cell: 4.9485 4.9485 5.2070 Å, 90.00 90.00 90.00°
Closest atoms and distances in Å follow each position.
Space group P4/mmm (No. 123)
Asymmetric unit:
Zr1 0.0000 0.0000 0.0000 (multiplicity 1)  4 Cl 2.47, 2 P 2.60
Cu1 0.5000 0.5000 0.5000 (multiplicity 1)  4 P 3.50, 8 Cl 3.59
P1 0.0000 0.0000 0.5000 (multiplicity 1)  2 Zr 2.60
Cl1 0.0000 0.5000 0.0000 (multiplicity 2)  2 Zr 2.47



(20)
Crystalline Li6Te7 at its relaxed geometry, computed with PBE-GGA.

Results
Crystal system: trigonal
Formation energy (no corrections) in meV per atom: -319

Cell: 6.1997 6.1997 37.4579 Å, 90.00 90.00 120.00°
Closest atoms and distances in Å follow each position.
Space group R-3m (No. 166, hexagonal axes)
Asymmetric unit:
Li1 0.0000 0.0000 0.0922 (multiplicity 6)  6 Te 3.28
Li2 0.0000 0.0000 0.1991 (multiplicity 6)  3 Te 3.20
Li3 0.0000 0.0000 0.3323 (multiplicity 6)  6 Te 2.95-3.00
Te1 0.0000 0.0000 0.5000 (multiplicity 3)  6 Li 3.78
Te2 0.0008 0.5004 0.0634 (multiplicity 18)  5 Li 2.95-3.28, 4 Te 3.09-3.11



(21)
Crystalline Tc2GeC at its relaxed geometry, computed with PBE-GGA.

Results
Formation energy in eV per atom: 0.10
Crystal system: trigonal
E above lowest polymorph in eV/atom: 0.000

Cell: 3.0889 3.0889 19.1173 Å, 90.00 90.00 120.00°
Closest atoms and distances in Å follow each position.
Space group R-3m (No. 166, hexagonal axes)
Asymmetric unit:
Tc1 0.0000 0.0000 0.2235 (multiplicity 6)  3 C 2.09
Ge1 0.0000 0.0000 0.0000 (multiplicity 3)  6 Tc 2.75
C1 0.0000 0.0000 0.5000 (multiplicity 3)  6 Tc 2.09



(22)
Crystalline AlHPb2 at its relaxed geometry, computed with PBE-GGA.

Results
Crystal system: tetragonal
E above lowest polymorph in eV/atom: 0.017

Cell: 5.1825 5.1825 15.0612 Å, 90.00 90.00 90.00°
Closest atoms and distances in Å follow each position.
Space group I-42d (No. 122)
Asymmetric unit:
Al1 0.0000 0.0000 0.0000 (multiplicity 4)  4 Pb 2.83
H1 0.0000 0.0000 0.5000 (multiplicity 4)  4 Pb 2.46
Pb1 0.1780 0.2500 0.6250 (multiplicity 8)  2 H 2.46



(23)
Crystalline K4Np3HgTe8 at its relaxed geometry, computed with PBE-GGA.

Results
Crystal system: monoclinic
Formation energy (no corrections) in meV per atom: -776

Cell: 15.8961 9.1364 9.7159 Å, 90.00 123.23 90.00°
Closest atoms and distances in Å follow each position.
Space group C2/m (No. 12)
Asymmetric unit:
K1 0.0000 0.0000 0.0000 (multiplicity 2)  6 Te 3.53
K2 0.0000 0.5000 0.0000 (multiplicity 2)  6 Te 3.55-3.59
K3 0.2500 0.2500 0.0000 (multiplicity 4)  6 Te 3.55-3.59
Np1 0.0000 0.0000 0.5000 (multiplicity 2)  6 Te 3.10-3.14
Np2 0.2500 0.2500 0.5000 (multiplicity 4)  6 Te 3.10-3.14
Hg1 0.0000 0.5000 0.5000 (multiplicity 2)  6 Te 3.17
Te1 0.0169 0.2449 0.2948 (multiplicity 8)  2 Np 3.10, 1 Hg 3.17
Te2 0.2361 0.0000 0.7091 (multiplicity 4)  3 Np 3.14
Te3 0.2385 0.5000 0.7048 (multiplicity 4)  2 Np 3.10, 1 Hg 3.17



Number 1: magnetic moment 0.0 μB/f.u.. Number 2: magnetic moment 0.0 μB/f.u.. Number 3: magnetic moment 0.0 μB/f.u.. Number 4: magnetic moment 0.0 μB/f.u.. Number 5: magnetic moment 5.5 μB/f.u.. Number 6: magnetic moment 0.0 μB/f.u.. Number 7: magnetic moment 0.0 μB/f.u.. Number 8: magnetic moment 1.0 μB/f.u.. Number 9: magnetic moment 0.0 μB/f.u.. Number 10: magnetic moment 0.0 μB/f.u.. Number 11: magnetic moment 0.0 μB/f.u.. Number 12: magnetic moment 4.9 μB/f.u.. Number 13: magnetic moment 0.0 μB/f.u.. Number 14: magnetic moment 1.1 μB/f.u.. Number 15: magnetic moment 0.0 μB/f.u.. Number 16: magnetic moment 2.3 μB/f.u.. Number 17: magnetic moment 0.0 μB/f.u.. Number 18: magnetic moment 3.9 μB/f.u.. Number 19: magnetic moment 0.0 μB/f.u.. Number 20: magnetic moment 0.0 μB/f.u.. Number 21: magnetic moment 0.0 μB/f.u.. Number 22: magnetic moment 0.0 μB/f.u.. Number 23: magnetic moment 10.9 μB/f.u..